[1]
11
Lattice="-4.065 2.732 -6.787 6.696 -4.435 -2.355 -5.096 -4.841 4.544" Properties=species:S:1:pos:R:3 comment="Ba3Pm4Sn4 GGA-PBE optimized geometry" formation_enthalpy_0k_ev_per_atom=-0.50 pbc="T T T"
Sn 4.219 -2.794 -1.484
Sn -0.912 -2.422 -1.701
Sn -2.561 1.721 -4.276
Sn -3.211 -3.050 2.863
Ba 0.800 -4.638 1.094
Ba 1.316 -0.852 -4.571
Ba -4.580 -1.055 -1.122
Pm -1.362 -1.294 1.215
Pm -1.806 -4.795 -3.369
Pm -1.087 0.730 -1.814
Pm 1.790 -1.186 -0.629

***

[2]
4
Lattice="3.462 -0.005 0.000 -1.849 2.927 0.000 0.000 0.000 8.768" Properties=species:S:1:pos:R:3 comment="SiPBr2 GGA-PBE optimized geometry" formation_energy_uncorrected_ev_per_atom=0.678 relative_energy_kj_per_mol_fu=333 pbc="T T T"
Si 0.807 1.461 6.576
Br 0.000 0.000 4.311
Br 0.000 0.000 0.073
P 0.807 1.461 2.192

***

[3]
12
Lattice="-3.316 -3.673 -0.467 -1.336 -2.663 3.979 -7.579 3.140 2.661" Properties=species:S:1:pos:R:3 comment="Nd2Ni9Au GGA-PBE optimized geometry" formation_enthalpy_0k_ev_per_atom=-0.14 pbc="T T T"
Nd -7.063 -4.235 4.108
Nd -5.168 1.040 2.065
Ni -10.668 -1.094 5.000
Ni -3.774 -1.909 2.115
Ni -1.563 -2.101 1.174
Ni -4.441 -3.238 4.101
Ni -6.116 -1.598 3.087
Ni -6.802 0.547 4.292
Ni -7.790 0.043 2.072
Ni -5.430 -3.743 1.881
Ni -8.457 -1.287 4.059
Au 0.000 0.000 0.000

***

| no. | total energy (eV per atom) | magnetization (Bohr magnetons per cell) |
| --- | --- | --- |
| 1 | -4.205 | 0.0 |
| 2 | -2.866 | 0.0 |
| 3 | -5.539 | 2.8 |